Entry 1:
Material: ReTe2Pb
Method: DFT, GGA-PBE
State: optimized geometry

Cell and atoms, written as extended XYZ:
```
4
Lattice="10.127 0.004 0.002 9.522 3.447 0.002 9.522 1.672 3.015" Properties=species:S:1:pos:R:3 pbc="T T T"
Re 21.879 3.842 2.264
Pb 7.293 1.281 0.755
Te 13.953 2.450 1.444
Te 0.633 0.111 0.066
```

Values from the calculation:
**Raw formation energy**: 1.06 eV per formula unit
**E_tot**: -5.35 eV per atom
**Total magnetic moment**: 0.000 μB/atom

=====

Entry 2:
Material: ReTePb2
Method: DFT, GGA-PBE
State: optimized geometry

Cell and atoms, written as extended XYZ:
```
8
Lattice="-4.611 0.010 -4.741 3.735 -4.067 -3.641 -3.391 -7.301 -1.331" Properties=species:S:1:pos:R:3 pbc="T T T"
Pb -3.081 -9.274 -8.555
Pb -3.545 -2.327 -4.041
Pb 1.192 -4.366 -2.911
Pb -3.100 -6.749 -3.919
Re 0.000 0.000 0.000
Re -4.220 -4.660 -5.132
Te -0.047 -6.698 -4.581
Te -0.438 -2.028 -4.191
```

Values from the calculation:
**Raw formation energy**: 4.32 eV per formula unit
**E_tot**: -4.67 eV per atom
**Total magnetic moment**: 0.000 μB/atom

=====

Entry 3:
Material: Re2TePb
Method: DFT, GGA-PBE
State: optimized geometry

Cell and atoms, written as extended XYZ:
```
4
Lattice="3.158 0.009 0.000 -1.493 2.782 0.000 0.000 0.000 8.973" Properties=species:S:1:pos:R:3 pbc="T T T"
Pb 0.832 1.396 6.730
Te 0.832 1.396 2.243
Re 0.000 0.000 4.389
Re 0.000 0.000 0.098
```

Values from the calculation:
**Raw formation energy**: 5.39 eV per formula unit
**E_tot**: -6.59 eV per atom
**Total magnetic moment**: 0.000 μB/atom
**Offset from the most stable computed form**: 903 meV per atom

=====

Entry 4:
Material: ReTePb2
Method: DFT, GGA-PBE
State: optimized geometry

Cell and atoms, written as extended XYZ:
```
4
Lattice="3.433 0.000 0.000 0.000 5.190 0.000 0.000 0.000 5.585" Properties=species:S:1:pos:R:3 pbc="T T T"
Re 1.716 0.000 2.792
Te 0.000 2.595 2.792
Pb 0.000 0.000 0.000
Pb 1.716 2.595 0.000
```

Values from the calculation:
**Raw formation energy**: 3.94 eV per formula unit
**E_tot**: -4.77 eV per atom
**Total magnetic moment**: 0.506 μB/atom

=====

Entry 5:
Material: ReTePb2
Method: DFT, GGA-PBE
State: optimized geometry

Cell and atoms, written as extended XYZ:
```
4
Lattice="5.097 -0.134 0.000 0.028 5.098 0.000 -2.562 -2.482 3.643" Properties=species:S:1:pos:R:3 pbc="T T T"
Pb 0.000 0.000 0.000
Pb 0.014 2.549 1.821
Re 2.562 2.482 0.000
Te 2.548 -0.067 1.821
```

Values from the calculation:
**Raw formation energy**: 3.72 eV per formula unit
**E_tot**: -4.82 eV per atom
**Total magnetic moment**: 0.000 μB/atom

=====

Entry 6:
Material: ReTe2Pb
Method: DFT, GGA-PBE
State: optimized geometry

Cell and atoms, written as extended XYZ:
```
4
Lattice="-1.124 -6.084 7.999 2.084 -4.888 8.604 -0.680 -3.041 9.621" Properties=species:S:1:pos:R:3 pbc="T T T"
Re 0.209 -10.469 19.593
Te 0.068 -3.406 6.374
Te 0.006 -0.320 0.598
Pb 0.136 -6.825 12.772
```

Values from the calculation:
**Raw formation energy**: 1.69 eV per formula unit
**E_tot**: -5.19 eV per atom
**Total magnetic moment**: 0.000 μB/atom

=====

Entry 7:
Material: ThRePb
Method: DFT, GGA-PBE
State: optimized geometry

Cell and atoms, written as extended XYZ:
```
6
Lattice="-2.490 3.326 -1.286 1.376 -2.935 -2.900 -8.359 -5.601 1.701" Properties=species:S:1:pos:R:3 pbc="T T T"
Re -8.075 -6.317 -0.701
Re -1.397 1.108 -1.784
Th -1.607 -1.077 0.327
Th -6.752 -4.524 1.374
Pb -6.056 -2.014 -0.836
Pb -3.417 -3.196 -1.649
```

Values from the calculation:
**Formation energy**: -0.03 eV per formula unit
**E_tot**: -7.87 eV per atom
**Total magnetic moment**: 0.000 μB/atom

=====

Entry 8:
Material: Th4RePb
Method: DFT, GGA-PBE
State: optimized geometry

Cell and atoms, written as extended XYZ:
```
12
Lattice="6.231 0.000 0.000 0.000 7.534 0.000 0.000 0.000 7.534" Properties=species:S:1:pos:R:3 pbc="T T T"
Th 0.000 4.807 6.146
Th 3.115 6.146 4.807
Th 3.115 1.388 2.727
Th 0.000 1.388 4.807
Th 0.000 2.727 1.388
Th 0.000 6.146 2.727
Th 3.115 2.727 6.146
Th 3.115 4.807 1.388
Re 4.673 3.767 3.767
Re 1.558 3.767 3.767
Pb 4.673 0.000 0.000
Pb 1.558 0.000 0.000
```

Values from the calculation:
**Formation energy**: -0.88 eV per formula unit
**E_tot**: -7.79 eV per atom
**Total magnetic moment**: 0.000 μB/atom

=====

Entry 9:
Material: Th6Re2Pb
Method: DFT, GGA-PBE
State: optimized geometry

Cell and atoms, written as extended XYZ:
```
18
Lattice="-7.031 2.984 4.390 2.396 -8.222 2.067 7.423 4.367 1.855" Properties=species:S:1:pos:R:3 pbc="T T T"
Th 5.103 -4.180 4.601
Th -1.302 -0.195 3.069
Th 7.539 -1.397 4.280
Th 4.090 -0.676 5.243
Th -3.188 -2.326 5.696
Th -4.752 0.526 4.032
Th 0.345 -1.475 6.068
Th 1.856 -2.905 3.304
Th 2.442 0.604 2.244
Th -2.316 3.309 3.711
Th 0.931 2.034 5.008
Th 5.976 1.455 2.615
Re 3.790 2.264 4.558
Re 0.131 2.460 2.090
Re -1.003 -3.135 3.753
Re 0.261 4.891 4.155
Pb 4.909 -1.927 1.961
Pb 0.000 0.000 0.000
```

Values from the calculation:
**Formation energy**: -0.53 eV per formula unit
**E_tot**: -8.18 eV per atom
**Total magnetic moment**: 0.000 μB/atom

=====

Entry 10:
Material: Th7Re2Pb2
Method: DFT, GGA-PBE
State: optimized geometry

Cell and atoms, written as extended XYZ:
```
11
Lattice="3.808 0.000 0.817 0.948 8.635 4.865 -0.143 -0.081 9.955" Properties=species:S:1:pos:R:3 pbc="T T T"
Re 1.307 2.749 3.192
Re 3.500 7.350 11.542
Th 2.833 3.979 5.364
Th 0.605 0.866 6.465
Th 2.002 6.345 9.239
Th 3.485 3.511 11.611
Th 1.232 6.126 12.828
Th 3.158 0.642 3.851
Th 1.799 0.226 10.184
Pb 0.684 6.523 6.099
Pb 2.159 3.098 8.507
```

Values from the calculation:
**Formation energy**: -0.96 eV per formula unit
**E_tot**: -7.75 eV per atom
**Total magnetic moment**: 0.000 μB/atom

=====

Entry 11:
Material: Th5Re2Pb
Method: DFT, GGA-PBE
State: optimized geometry

Cell and atoms, written as extended XYZ:
```
16
Lattice="7.318 0.000 -3.454 -1.631 7.134 -3.454 -0.257 -0.322 8.934" Properties=species:S:1:pos:R:3 pbc="T T T"
Re 5.262 4.556 -5.181
Re 4.447 0.989 -2.685
Re 1.240 6.145 -4.224
Re 0.425 2.578 -1.727
Pb 1.293 1.622 2.740
Pb 4.137 5.189 -0.714
Th 6.298 3.310 -2.639
Th 1.309 -0.066 5.749
Th 2.942 1.983 -0.269
Th 0.000 0.000 0.000
Th 2.488 4.828 2.295
Th 4.121 6.877 -3.724
Th -0.868 3.501 4.664
Th 2.844 3.567 -3.454
Th 4.664 1.261 3.379
Th 0.766 5.550 -1.354
```

Values from the calculation:
**Formation energy**: -1.25 eV per formula unit
**E_tot**: -8.37 eV per atom
**Total magnetic moment**: 0.000 μB/atom

=====

Entry 12:
Material: Th2RePb
Method: DFT, GGA-PBE
State: optimized geometry

Cell and atoms, written as extended XYZ:
```
4
Lattice="3.490 0.000 0.000 0.000 3.490 0.000 0.000 0.000 8.837" Properties=species:S:1:pos:R:3 pbc="T T T"
Re 1.745 1.745 0.000
Pb 1.745 1.745 4.419
Th 0.000 0.000 1.798
Th 0.000 0.000 7.039
```

Values from the calculation:
**Formation energy**: -0.58 eV per formula unit
**E_tot**: -7.89 eV per atom
**Total magnetic moment**: 0.000 μB/atom
**Offset from the most stable computed form**: 0 meV per atom